# 1
Density functional theory data (GGA-PBEsol) for Sr2OsI after structural relaxation.

a = 7.599 Å, b = 7.599 Å, c = 7.599 Å
α = 90.00°, β = 90.00°, γ = 90.00°
Space group Fm-3m (No. 225)
Symmetry-distinct sites (fractional):
Sr  0.250  0.250  0.250 [8 per cell]
Os  0.000  0.000  0.000 [4 per cell]
I  0.000  0.000  0.500 [4 per cell]

Values from the calculation:
DFT total energy   -4.17 eV/atom

# 2
Density functional theory data (GGA-PBEsol) for SrTe2OsI after structural relaxation.

a = 6.034 Å, b = 6.034 Å, c = 5.979 Å
α = 90.00°, β = 90.00°, γ = 90.00°
Space group P4/mmm (No. 123)
Symmetry-distinct sites (fractional):
Sr  0.000  0.000  0.000 [1 per cell]
Te  0.000  0.500  0.000 [2 per cell]
Os  0.500  0.500  0.500 [1 per cell]
I  0.000  0.000  0.500 [1 per cell]

Values from the calculation:
DFT total energy   -3.08 eV/atom

# 3
Density functional theory data (GGA-PBEsol) for TaTeOsI2 after structural relaxation.

a = 5.212 Å, b = 5.212 Å, c = 5.082 Å
α = 90.00°, β = 90.00°, γ = 90.00°
Space group P4/mmm (No. 123)
Symmetry-distinct sites (fractional):
Ta  0.000  0.000  0.000 [1 per cell]
Te  0.500  0.500  0.000 [1 per cell]
Os  0.500  0.500  0.500 [1 per cell]
I  0.000  0.500  0.500 [2 per cell]

Values from the calculation:
DFT total energy   -4.85 eV/atom

# 4
Density functional theory data (GGA-PBEsol) for Tb6OsI10 after structural relaxation.

a = 7.562 Å, b = 9.494 Å, c = 9.535 Å
α = 107.46°, β = 97.00°, γ = 104.94°
Space group P-1 (No. 2)
Symmetry-distinct sites (fractional):
Tb  0.031  0.213  0.415 [2 per cell]
Tb  0.115  0.540  0.255 [2 per cell]
Tb  0.357  0.628  0.669 [2 per cell]
Os  0.000  0.500  0.500 [1 per cell]
I  0.089  0.872  0.316 [2 per cell]
I  0.212  0.235  0.145 [2 per cell]
I  0.267  0.589  0.965 [2 per cell]
I  0.359  0.960  0.776 [2 per cell]
I  0.452  0.312  0.593 [2 per cell]

Values from the calculation:
DFT total energy   -4.71 eV/atom

# 5
Density functional theory data (GGA-PBEsol) for Tc2OsI after structural relaxation.

a = 6.312 Å, b = 6.312 Å, c = 6.312 Å
α = 90.00°, β = 90.00°, γ = 90.00°
Space group Fm-3m (No. 225)
Symmetry-distinct sites (fractional):
Tc  0.250  0.250  0.250 [8 per cell]
Os  0.000  0.000  0.000 [4 per cell]
I  0.000  0.000  0.500 [4 per cell]

Values from the calculation:
DFT total energy   -8.11 eV/atom

# 6
Density functional theory data (GGA-PBEsol) for ZnTe2OsI after structural relaxation.

a = 5.095 Å, b = 5.095 Å, c = 5.645 Å
α = 90.00°, β = 90.00°, γ = 90.00°
Space group P4/mmm (No. 123)
Symmetry-distinct sites (fractional):
Zn  0.000  0.000  0.000 [1 per cell]
Te  0.000  0.500  0.500 [2 per cell]
Os  0.500  0.500  0.500 [1 per cell]
I  0.500  0.500  0.000 [1 per cell]

Values from the calculation:
DFT total energy   -3.79 eV/atom

# 7
Density functional theory data (GGA-PBEsol) for ZnTeOsI2 after structural relaxation.

a = 5.231 Å, b = 5.231 Å, c = 5.337 Å
α = 90.00°, β = 90.00°, γ = 90.00°
Space group P4/mmm (No. 123)
Symmetry-distinct sites (fractional):
Zn  0.000  0.000  0.000 [1 per cell]
Te  0.000  0.000  0.500 [1 per cell]
Os  0.500  0.500  0.500 [1 per cell]
I  0.000  0.500  0.000 [2 per cell]

Values from the calculation:
DFT total energy   -2.68 eV/atom

# 8
Density functional theory data (GGA-PBEsol) for TiOs2I2 after structural relaxation.

a = 3.420 Å, b = 3.420 Å, c = 20.292 Å
α = 90.00°, β = 90.00°, γ = 90.00°
Space group I4/mmm (No. 139)
Symmetry-distinct sites (fractional):
Ti  0.000  0.000  0.000 [2 per cell]
Os  0.000  0.500  0.250 [4 per cell]
I  0.000  0.000  0.416 [4 per cell]

Values from the calculation:
DFT total energy   -6.39 eV/atom

# 9
Density functional theory data (GGA-PBEsol) for TlOs3I after structural relaxation.

a = 4.799 Å, b = 4.799 Å, c = 4.799 Å
α = 90.00°, β = 90.00°, γ = 90.00°
Space group Pm-3m (No. 221)
Symmetry-distinct sites (fractional):
Tl  0.000  0.000  0.000 [1 per cell]
Os  0.000  0.500  0.500 [3 per cell]
I  0.500  0.500  0.500 [1 per cell]

Values from the calculation:
DFT total energy   -5.45 eV/atom

# 10
Density functional theory data (GGA-PBEsol) for TlZnOsI2 after structural relaxation.

a = 5.385 Å, b = 5.385 Å, c = 5.298 Å
α = 90.00°, β = 90.00°, γ = 90.00°
Space group P4/mmm (No. 123)
Symmetry-distinct sites (fractional):
Tl  0.000  0.000  0.000 [1 per cell]
Zn  0.000  0.000  0.500 [1 per cell]
Os  0.500  0.500  0.000 [1 per cell]
I  0.000  0.500  0.500 [2 per cell]

Values from the calculation:
DFT total energy   -2.56 eV/atom

# 11
Density functional theory data (GGA-PBEsol) for OsWI3 after structural relaxation.

a = 5.335 Å, b = 5.335 Å, c = 5.335 Å
α = 90.00°, β = 90.00°, γ = 90.00°
Space group Pm-3m (No. 221)
Symmetry-distinct sites (fractional):
Os  0.000  0.000  0.000 [1 per cell]
W  0.500  0.500  0.500 [1 per cell]
I  0.000  0.500  0.500 [3 per cell]

Values from the calculation:
DFT total energy   -4.27 eV/atom

# 12
Density functional theory data (GGA-PBEsol) for OsWI2 after structural relaxation.

a = 6.675 Å, b = 6.675 Å, c = 6.675 Å
α = 90.00°, β = 90.00°, γ = 90.00°
Space group Fm-3m (No. 225)
Symmetry-distinct sites (fractional):
Os  0.000  0.000  0.000 [4 per cell]
W  0.000  0.000  0.500 [4 per cell]
I  0.250  0.250  0.250 [8 per cell]

Values from the calculation:
DFT total energy   -5.83 eV/atom

# 13
Density functional theory data (GGA-PBEsol) for Y6OsI10 after structural relaxation.

a = 7.537 Å, b = 9.468 Å, c = 9.509 Å
α = 107.44°, β = 96.96°, γ = 104.87°
Space group P-1 (No. 2)
Symmetry-distinct sites (fractional):
Y  0.031  0.213  0.415 [2 per cell]
Y  0.115  0.540  0.255 [2 per cell]
Y  0.357  0.628  0.669 [2 per cell]
Os  0.000  0.500  0.500 [1 per cell]
I  0.089  0.873  0.316 [2 per cell]
I  0.213  0.235  0.145 [2 per cell]
I  0.267  0.589  0.965 [2 per cell]
I  0.359  0.960  0.776 [2 per cell]
I  0.453  0.312  0.594 [2 per cell]

Values from the calculation:
DFT total energy   -5.36 eV/atom

# 14
Density functional theory data (GGA-PBEsol) for PI3 after structural relaxation.

a = 6.9717 Å, b = 6.9717 Å, c = 7.0763 Å
α = 90.00°, β = 90.00°, γ = 120.00°
Space group P6_3 (No. 173)
Symmetry-distinct sites (fractional):
P  0.3333  0.6667  0.0000 [2 per cell]
I  0.0213  0.6856  0.1511 [6 per cell]

Values from the calculation:
DFT total energy   -2.78 eV/atom

# 15
Density functional theory data (GGA-PBEsol) for PPbI2 after structural relaxation.

a = 5.175 Å, b = 5.175 Å, c = 19.666 Å
α = 90.00°, β = 90.00°, γ = 90.00°
Space group I-42d (No. 122)
Symmetry-distinct sites (fractional):
P  0.000  0.000  0.000 [4 per cell]
Pb  0.000  0.000  0.500 [4 per cell]
I  0.222  0.250  0.125 [8 per cell]

Values from the calculation:
DFT total energy   -2.94 eV/atom

# 16
Density functional theory data (GGA-PBEsol) for SbPPdI2 after structural relaxation.

a = 5.240 Å, b = 5.240 Å, c = 5.234 Å
α = 90.00°, β = 90.00°, γ = 90.00°
Space group P4/mmm (No. 123)
Symmetry-distinct sites (fractional):
Sb  0.000  0.000  0.000 [1 per cell]
P  0.000  0.000  0.500 [1 per cell]
Pd  0.500  0.500  0.000 [1 per cell]
I  0.000  0.500  0.500 [2 per cell]

Values from the calculation:
DFT total energy   -3.16 eV/atom

# 17
Density functional theory data (GGA-PBEsol) for TaP2PdI after structural relaxation.

a = 4.691 Å, b = 4.691 Å, c = 5.259 Å
α = 90.00°, β = 90.00°, γ = 90.00°
Space group P4/mmm (No. 123)
Symmetry-distinct sites (fractional):
Ta  0.000  0.000  0.000 [1 per cell]
P  0.000  0.500  0.000 [2 per cell]
Pd  0.000  0.000  0.500 [1 per cell]
I  0.500  0.500  0.500 [1 per cell]

Values from the calculation:
DFT total energy   -5.75 eV/atom

# 18
Density functional theory data (GGA-PBEsol) for Te2PPdI after structural relaxation.

a = 5.179 Å, b = 5.179 Å, c = 5.186 Å
α = 90.00°, β = 90.00°, γ = 90.00°
Space group P4/mmm (No. 123)
Symmetry-distinct sites (fractional):
Te  0.000  0.500  0.000 [2 per cell]
P  0.000  0.000  0.500 [1 per cell]
Pd  0.500  0.500  0.000 [1 per cell]
I  0.500  0.500  0.500 [1 per cell]

Values from the calculation:
DFT total energy   -3.42 eV/atom

# 19
Density functional theory data (GGA-PBEsol) for PPt2I after structural relaxation.

a = 6.535 Å, b = 6.535 Å, c = 6.535 Å
α = 90.00°, β = 90.00°, γ = 90.00°
Space group Fm-3m (No. 225)
Symmetry-distinct sites (fractional):
P  0.000  0.000  0.000 [4 per cell]
Pt  0.250  0.250  0.250 [8 per cell]
I  0.000  0.000  0.500 [4 per cell]

Values from the calculation:
DFT total energy   -4.82 eV/atom

# 20
Density functional theory data (GGA-PBEsol) for P3PtI after structural relaxation.

a = 4.706 Å, b = 4.706 Å, c = 4.706 Å
α = 90.00°, β = 90.00°, γ = 90.00°
Space group Pm-3m (No. 221)
Symmetry-distinct sites (fractional):
P  0.000  0.000  0.500 [3 per cell]
Pt  0.000  0.000  0.000 [1 per cell]
I  0.500  0.500  0.500 [1 per cell]

Values from the calculation:
DFT total energy   -4.49 eV/atom

# 21
Density functional theory data (GGA-PBEsol) for PRu2PtI after structural relaxation.

a = 5.021 Å, b = 5.021 Å, c = 4.249 Å
α = 90.00°, β = 90.00°, γ = 90.00°
Space group P4/mmm (No. 123)
Symmetry-distinct sites (fractional):
P  0.000  0.000  0.000 [1 per cell]
Ru  0.000  0.500  0.500 [2 per cell]
Pt  0.000  0.000  0.500 [1 per cell]
I  0.500  0.500  0.000 [1 per cell]

Values from the calculation:
DFT total energy   -5.54 eV/atom

# 22
Density functional theory data (GGA-PBEsol) for PPtS2I after structural relaxation.

a = 4.835 Å, b = 4.835 Å, c = 5.142 Å
α = 90.00°, β = 90.00°, γ = 90.00°
Space group P4/mmm (No. 123)
Symmetry-distinct sites (fractional):
P  0.000  0.000  0.000 [1 per cell]
Pt  0.500  0.500  0.000 [1 per cell]
S  0.000  0.500  0.500 [2 per cell]
I  0.000  0.000  0.500 [1 per cell]

Values from the calculation:
E above lowest polymorph   1.246 eV/atom

# 23
Density functional theory data (GGA-PBEsol) for PPtS2I after structural relaxation.

a = 4.774 Å, b = 4.774 Å, c = 4.541 Å
α = 90.00°, β = 90.00°, γ = 90.00°
Space group P4/mmm (No. 123)
Symmetry-distinct sites (fractional):
P  0.000  0.000  0.000 [1 per cell]
Pt  0.000  0.000  0.500 [1 per cell]
S  0.000  0.500  0.500 [2 per cell]
I  0.500  0.500  0.000 [1 per cell]

Values from the calculation:
E above lowest polymorph   0.000 eV/atom

# 24
Density functional theory data (GGA-PBEsol) for RbP3I after structural relaxation.

a = 6.403 Å, b = 6.403 Å, c = 6.403 Å
α = 90.00°, β = 90.00°, γ = 90.00°
Space group Pm-3m (No. 221)
Symmetry-distinct sites (fractional):
Rb  0.000  0.000  0.000 [1 per cell]
P  0.000  0.000  0.500 [3 per cell]
I  0.500  0.500  0.500 [1 per cell]

Values from the calculation:
DFT total energy   -2.02 eV/atom

# 25
Density functional theory data (GGA-PBEsol) for Rb3PI after structural relaxation.

a = 6.355 Å, b = 6.355 Å, c = 6.355 Å
α = 90.00°, β = 90.00°, γ = 90.00°
Space group Pm-3m (No. 221)
Symmetry-distinct sites (fractional):
Rb  0.000  0.000  0.500 [3 per cell]
P  0.000  0.000  0.000 [1 per cell]
I  0.500  0.500  0.500 [1 per cell]

Values from the calculation:
DFT total energy   -2.61 eV/atom

# 26
Density functional theory data (GGA-PBEsol) for RbPS2I after structural relaxation.

a = 5.994 Å, b = 5.994 Å, c = 6.294 Å
α = 90.00°, β = 90.00°, γ = 90.00°
Space group P4/mmm (No. 123)
Symmetry-distinct sites (fractional):
Rb  0.000  0.000  0.000 [1 per cell]
P  0.000  0.000  0.500 [1 per cell]
S  0.000  0.500  0.000 [2 per cell]
I  0.500  0.500  0.500 [1 per cell]

Values from the calculation:
DFT total energy   -1.96 eV/atom

# 27
Density functional theory data (GGA-PBEsol) for ReTePI2 after structural relaxation.

a = 5.319 Å, b = 5.319 Å, c = 5.254 Å
α = 90.00°, β = 90.00°, γ = 90.00°
Space group P4/mmm (No. 123)
Symmetry-distinct sites (fractional):
Re  0.000  0.000  0.000 [1 per cell]
Te  0.500  0.500  0.000 [1 per cell]
P  0.500  0.500  0.500 [1 per cell]
I  0.000  0.500  0.500 [2 per cell]

Values from the calculation:
DFT total energy   -3.72 eV/atom